Pm3Sn | the Alexandria database | GGA-PBE | optimized geometry; energy relative to the lowest polymorph listed for this composition = 0.0417 eV per atom; magnetic moment = 0.0 μB/f.u.; energy of formation = -409 meV per atom; energy = -39.78 eV/cell; calculated volume = 239 Å³ per cell; crystal system = tetragonal; density of states at the Fermi level = 4.54 states/eV/f.u.
1.0
4.848 0.000 0.000
0.000 4.848 0.000
0.000 0.000 10.184
Pm Sn
6 2
Cartesian
0.000 0.000 0.000
0.000 2.424 2.546
0.000 2.424 7.638
2.424 0.000 2.546
2.424 0.000 7.638
2.424 2.424 5.092
0.000 0.000 5.092
2.424 2.424 0.000